The following is a PBE-GGA calculation of crystalline MgCd2Ge at its relaxed geometry, from Alexandria.

a = 4.977 Å, b = 4.977 Å, c = 4.977 Å
α = 60.00°, β = 60.00°, γ = 60.00°
Atoms (fractional coordinates):
Ge (0.500, 0.500, 0.500)
Mg (0.000, 0.000, 0.000)
Cd (0.250, 0.250, 0.250)
Cd (0.750, 0.750, 0.750)

Computed properties:
The theoretical density comes out at 6.13 g cm⁻³. Its relative energy among the computed polymorphs is 79 meV per atom.



The following is a PBE-GGA calculation of crystalline Mg3Cd2Ge at its relaxed geometry, from Alexandria.

a = 4.628 Å, b = 8.354 Å, c = 8.354 Å
α = 114.27°, β = 106.43°, γ = 106.43°
Atoms (fractional coordinates):
Mg (0.469, 0.798, 0.638)
Mg (0.969, 0.638, 0.798)
Mg (0.500, 0.500, 0.000)
Mg (0.531, 0.202, 0.362)
Mg (0.000, 0.000, 0.500)
Mg (0.031, 0.362, 0.202)
Cd (0.250, 0.076, 0.924)
Cd (0.250, 0.767, 0.233)
Cd (0.750, 0.924, 0.076)
Cd (0.750, 0.233, 0.767)
Ge (0.250, 0.404, 0.596)
Ge (0.750, 0.596, 0.404)

Computed properties:
The theoretical density comes out at 4.89 g cm⁻³.



The following is a PBE-GGA calculation of crystalline MgCd2Ge2 at its relaxed geometry, from Alexandria.

a = 7.814 Å, b = 7.814 Å, c = 3.632 Å
α = 90.00°, β = 90.00°, γ = 90.00°
Atoms (fractional coordinates):
Ge (0.176, 0.676, 0.500)
Ge (0.676, 0.824, 0.500)
Ge (0.824, 0.324, 0.500)
Ge (0.324, 0.176, 0.500)
Mg (0.000, 0.000, 0.000)
Mg (0.500, 0.500, 0.000)
Cd (0.370, 0.870, 0.000)
Cd (0.870, 0.630, 0.000)
Cd (0.630, 0.130, 0.000)
Cd (0.130, 0.370, 0.000)

Computed properties:
The theoretical density comes out at 5.91 g cm⁻³. Its relative energy among the computed polymorphs is 114 meV per atom.



The following is a PBE-GGA calculation of crystalline MgCdGe at its relaxed geometry, from Alexandria.

a = 8.110 Å, b = 3.267 Å, c = 4.952 Å
α = 90.01°, β = 107.78°, γ = 90.00°
Atoms (fractional coordinates):
Mg (0.894, 0.537, 0.779)
Mg (0.184, 0.537, 0.422)
Ge (0.862, 0.037, 0.262)
Ge (0.216, 0.037, 0.936)
Cd (0.539, 0.037, 0.783)
Cd (0.539, 0.537, 0.292)

Computed properties:
The theoretical density comes out at 5.56 g cm⁻³.



The following is a PBE-GGA calculation of crystalline MgCdGe at its relaxed geometry, from Alexandria.

a = 6.254 Å, b = 3.170 Å, c = 6.623 Å
α = 76.29°, β = 90.00°, γ = 90.00°
Atoms (fractional coordinates):
Mg (0.456, 0.787, 0.246)
Mg (0.955, 0.787, 0.246)
Ge (0.206, 0.147, 0.526)
Ge (0.706, 0.427, 0.965)
Cd (0.705, 0.115, 0.590)
Cd (0.205, 0.460, 0.900)

Computed properties:
The theoretical density comes out at 5.45 g cm⁻³.



The following is a PBE-GGA calculation of crystalline Mg2CdGe2 at its relaxed geometry, from Alexandria.

a = 4.479 Å, b = 4.479 Å, c = 6.393 Å
α = 69.50°, β = 69.50°, γ = 90.00°
Atoms (fractional coordinates):
Ge (0.391, 0.391, 0.218)
Ge (0.609, 0.609, 0.782)
Mg (0.750, 0.250, 0.500)
Mg (0.250, 0.750, 0.500)
Cd (0.000, 0.000, 0.000)

Computed properties:
The theoretical density comes out at 4.57 g cm⁻³. Its relative energy among the computed polymorphs is 53 meV per atom.



The following is a PBE-GGA calculation of crystalline MgCd2Ge at its relaxed geometry, from Alexandria.

a = 4.794 Å, b = 4.794 Å, c = 5.416 Å
α = 63.74°, β = 63.74°, γ = 60.00°
Atoms (fractional coordinates):
Mg (0.487, 0.487, 0.539)
Cd (0.061, 0.061, 0.818)
Cd (0.266, 0.266, 0.203)
Ge (0.686, 0.686, 0.941)

Computed properties:
The theoretical density comes out at 5.77 g cm⁻³. Its relative energy among the computed polymorphs is 33 meV per atom.



The following is a PBE-GGA calculation of crystalline MgCd2Ge2 at its relaxed geometry, from Alexandria.

a = 4.449 Å, b = 4.449 Å, c = 6.648 Å
α = 70.45°, β = 70.45°, γ = 90.00°
Atoms (fractional coordinates):
Ge (0.395, 0.395, 0.209)
Ge (0.605, 0.605, 0.791)
Mg (0.000, 0.000, 0.000)
Cd (0.750, 0.250, 0.500)
Cd (0.250, 0.750, 0.500)

Computed properties:
The theoretical density comes out at 5.65 g cm⁻³. Its relative energy among the computed polymorphs is 57 meV per atom.



The following is a PBE-GGA calculation of crystalline Mg3CdGe at its relaxed geometry, from Alexandria.

a = 5.088 Å, b = 5.088 Å, c = 5.088 Å
α = 90.00°, β = 90.00°, γ = 90.00°
Atoms (fractional coordinates):
Ge (0.000, 0.000, 0.000)
Mg (0.000, 0.500, 0.000)
Mg (0.000, 0.000, 0.500)
Mg (0.500, 0.000, 0.000)
Cd (0.500, 0.500, 0.500)

Computed properties:
The theoretical density comes out at 3.25 g cm⁻³. Its relative energy among the computed polymorphs is 0 meV per atom.



The following is a PBE-GGA calculation of crystalline MgCdGe at its relaxed geometry, from Alexandria.

a = 7.400 Å, b = 4.250 Å, c = 4.358 Å
α = 89.95°, β = 99.53°, γ = 106.61°
Atoms (fractional coordinates):
Mg (0.664, 0.687, 0.590)
Mg (0.319, 0.517, 0.985)
Ge (0.945, 0.326, 0.698)
Ge (0.385, 0.049, 0.487)
Cd (0.003, 0.856, 0.212)
Cd (0.660, 0.185, 0.088)

Computed properties:
The theoretical density comes out at 5.38 g cm⁻³.



The following is a PBE-GGA calculation of crystalline MgCd2Ge2 at its relaxed geometry, from Alexandria.

a = 7.137 Å, b = 7.137 Å, c = 4.309 Å
α = 90.00°, β = 90.00°, γ = 90.00°
Atoms (fractional coordinates):
Ge (0.373, 0.873, 0.000)
Ge (0.873, 0.627, 0.000)
Ge (0.627, 0.127, 0.000)
Ge (0.127, 0.373, 0.000)
Mg (0.000, 0.000, 0.000)
Mg (0.500, 0.500, 0.000)
Cd (0.181, 0.681, 0.500)
Cd (0.681, 0.819, 0.500)
Cd (0.819, 0.319, 0.500)
Cd (0.319, 0.181, 0.500)

Computed properties:
The theoretical density comes out at 5.97 g cm⁻³. Its relative energy among the computed polymorphs is 0 meV per atom.



The following is a PBE-GGA calculation of crystalline MgCdGe2 at its relaxed geometry, from Alexandria.

a = 4.170 Å, b = 4.405 Å, c = 4.405 Å
α = 90.00°, β = 90.00°, γ = 90.00°
Atoms (fractional coordinates):
Ge (0.000, 0.000, 0.500)
Ge (0.000, 0.500, 0.000)
Mg (0.500, 0.500, 0.500)
Cd (0.500, 0.000, 0.000)

Computed properties:
The theoretical density comes out at 5.79 g cm⁻³. Its relative energy among the computed polymorphs is 0 meV per atom.



Formation enthalpy at 0 K across the listed records, respectively: 0.0874, -0.0961, 0.1894, 0.0436, 0.0527, 0.0118, 0.0412, 0.1319, 0.1111, 0.0553, 0.0753, 0.0550 eV per atom.